Here is crystalline Hf2AgAu2 at its relaxed geometry from Alexandria. Energies are from PBE-GGA.

a b c (Å): 7.557 7.557 3.488
angles (deg): 90.00 90.00 90.00
Sites, in units of the cell vectors:
Hf 0.169 0.331 0.000
Hf 0.331 0.831 0.000
Hf 0.669 0.169 0.000
Hf 0.831 0.669 0.000
Ag 0.000 0.000 0.500
Ag 0.500 0.500 0.500
Au 0.132 0.632 0.500
Au 0.368 0.132 0.500
Au 0.632 0.868 0.500
Au 0.868 0.368 0.500

Properties
- V: 19.92 A^3/atom
- Density of states at the Fermi level: 3.1 states/eV/f.u.
- Energy relative to the lowest polymorph listed for this composition: 0.0 meV per atom
- Calculated total energy: -6.190 eV per atom